Computed, not measured: a geometry-optimized CaMo3O structure at the PBE with a Hubbard U level of DFT.

Lattice parameters (Å, degrees): 4.4439 4.4439 4.4439 90.00 90.00 90.00
Last column: nearest neighbours and their distance in Å.
Space group Pm-3m (No. 221)
Unique sites:
Ca (0.0000, 0.0000, 0.0000) x1  12 Mo 3.14
Mo (0.0000, 0.5000, 0.5000) x3  2 O 2.22
O (0.5000, 0.5000, 0.5000) x1  6 Mo 2.22

Summary:
Final energy (eV per atom): -4.855